(1)
Compound: SnIO2
Source: the Alexandria database
Functional: meta-GGA SCAN
Structure: single point on PBEsol structure Values from VASP.

Properties
M_tot = 2.00 μB per cell
polymorph energy (0 for the lowest one) = 0.000 eV/f.u.
space group = I-42d
DOS at the Fermi energy = 0.116 states/eV/atom

```
&SYSTEM
  ibrav = 0, nat = 8, ntyp = 3
/
ATOMIC_SPECIES
Sn 118.71 Sn.upf
I 126.90 I.upf
O 16.00 O.upf
CELL_PARAMETERS angstrom
-3.0988 3.0988 4.2779
3.0988 -3.0988 4.2779
3.0988 3.0988 -4.2779
ATOMIC_POSITIONS angstrom
Sn 0.0000 0.0000 0.0000
Sn 0.0000 3.0988 2.1389
I 3.0988 0.0000 2.1389
I 0.0000 0.0000 4.2779
O 0.4950 1.5494 1.0695
O -1.5494 2.6038 3.2084
O -0.4950 4.6481 1.0695
O 1.5494 3.5937 3.2084
```

---

(2)
Compound: FeP2PtCl
Source: the Alexandria database
Functional: meta-GGA SCAN
Structure: single point on PBEsol structure Values from VASP.

Properties
M_tot = 1.19 μB per cell
space group = P4/mmm
DOS at the Fermi energy = 0.628 states/eV/atom

```
&SYSTEM
  ibrav = 0, nat = 5, ntyp = 4
/
ATOMIC_SPECIES
Fe 55.84 Fe.upf
P 30.97 P.upf
Pt 195.08 Pt.upf
Cl 35.45 Cl.upf
CELL_PARAMETERS angstrom
4.1988 0.0000 0.0000
0.0000 4.1988 0.0000
0.0000 0.0000 4.5351
ATOMIC_POSITIONS angstrom
Fe 0.0000 0.0000 0.0000
P 0.0000 2.0994 0.0000
P 2.0994 0.0000 0.0000
Pt 2.0994 2.0994 2.2676
Cl 0.0000 0.0000 2.2676
```

---

no.,formation energy without anion corrections (meV per atom)
1,-774
2,747